# 1
First-principles (PBE-GGA) data for a relaxed BeAlFeNi crystal, as listed in the Alexandria database.

Output
**Calculated formation energy**: -1.34 eV/f.u.

Lattice parameters (Å, degrees): 5.514 5.514 5.514 90.00 90.00 90.00
Space group F-43m (No. 216)
One atom of each set of equivalent atoms:
Be 0.000 0.000 0.000 [4 per cell]
Al 0.000 0.000 0.500 [4 per cell]
Fe 0.250 0.250 0.750 [4 per cell]
Ni 0.250 0.250 0.250 [4 per cell]

# 2
First-principles (PBE-GGA) data for a relaxed PaBeAlFe crystal, as listed in the Alexandria database.

Output
**Calculated formation energy**: -0.20 eV/f.u.

Lattice parameters (Å, degrees): 6.269 6.269 6.269 90.00 90.00 90.00
Space group F-43m (No. 216)
One atom of each set of equivalent atoms:
Pa 0.000 0.000 0.000 [4 per cell]
Be 0.250 0.250 0.250 [4 per cell]
Al 0.000 0.000 0.500 [4 per cell]
Fe 0.250 0.250 0.750 [4 per cell]

# 3
First-principles (PBE-GGA) data for a relaxed BeAlFe2Pt crystal, as listed in the Alexandria database.

Output
**Calculated formation energy**: 3.93 eV/f.u.

Lattice parameters (Å, degrees): 4.736 4.736 4.155 90.00 90.00 90.00
Space group P4/mmm (No. 123)
One atom of each set of equivalent atoms:
Be 0.000 0.000 0.000 [1 per cell]
Al 0.500 0.500 0.000 [1 per cell]
Fe 0.000 0.500 0.500 [2 per cell]
Pt 0.000 0.000 0.500 [1 per cell]

# 4
First-principles (PBE-GGA) data for a relaxed Be2AlFe5Re2 crystal, as listed in the Alexandria database.

Output
**Calculated formation energy**: -0.75 eV/f.u.

Lattice parameters (Å, degrees): 8.703 8.703 2.831 90.00 90.00 90.00
Space group P4/mbm (No. 127)
One atom of each set of equivalent atoms:
Be 0.123 0.377 0.000 [4 per cell]
Al 0.000 0.000 0.000 [2 per cell]
Fe 0.000 0.500 0.500 [2 per cell]
Fe 0.063 0.212 0.500 [8 per cell]
Re 0.177 0.677 0.000 [4 per cell]

# 5
First-principles (PBE-GGA) data for a relaxed BeAl2FeSe crystal, as listed in the Alexandria database.

Output
**Formation energy from raw total energies**: 1019.2 meV per atom

Lattice parameters (Å, degrees): 5.035 5.035 3.891 90.00 90.00 90.00
Space group P4/mmm (No. 123)
One atom of each set of equivalent atoms:
Be 0.000 0.000 0.000 [1 per cell]
Al 0.000 0.500 0.500 [2 per cell]
Fe 0.500 0.500 0.000 [1 per cell]
Se 0.000 0.000 0.500 [1 per cell]

# 6
First-principles (PBE-GGA) data for a relaxed BeAlFeTe2 crystal, as listed in the Alexandria database.

Output
**Formation energy from raw total energies**: 959.6 meV per atom

Lattice parameters (Å, degrees): 5.425 5.425 4.309 90.00 90.00 90.00
Space group P4/mmm (No. 123)
One atom of each set of equivalent atoms:
Be 0.000 0.000 0.000 [1 per cell]
Al 0.000 0.000 0.500 [1 per cell]
Fe 0.500 0.500 0.000 [1 per cell]
Te 0.000 0.500 0.500 [2 per cell]

# 7
First-principles (PBE-GGA) data for a relaxed BeAlFeW crystal, as listed in the Alexandria database.

Output
**Calculated formation energy**: -0.20 eV/f.u.

Lattice parameters (Å, degrees): 5.805 5.805 5.805 90.00 90.00 90.00
Space group F-43m (No. 216)
One atom of each set of equivalent atoms:
Be 0.000 0.000 0.000 [4 per cell]
Al 0.250 0.250 0.250 [4 per cell]
Fe 0.000 0.000 0.500 [4 per cell]
W 0.250 0.250 0.750 [4 per cell]

# 8
First-principles (PBE-GGA) data for a relaxed Be2AlFe5W2 crystal, as listed in the Alexandria database.

Output
**Calculated formation energy**: -1.05 eV/f.u.

Lattice parameters (Å, degrees): 8.673 8.673 2.925 90.00 90.00 90.00
Space group P4/mbm (No. 127)
One atom of each set of equivalent atoms:
Be 0.122 0.378 0.000 [4 per cell]
Al 0.000 0.000 0.000 [2 per cell]
Fe 0.000 0.500 0.500 [2 per cell]
Fe 0.067 0.212 0.500 [8 per cell]
W 0.176 0.676 0.000 [4 per cell]

# 9
First-principles (PBE-GGA) data for a relaxed Be2AlGa crystal, as listed in the Alexandria database.

Output
**Excess energy over the best structure of this formula in the dataset**: 0.87 eV per formula unit
**Calculated formation energy**: 2.41 eV/f.u.

Lattice parameters (Å, degrees): 6.806 6.806 4.970 90.00 90.00 90.00
Space group I-42d (No. 122)
One atom of each set of equivalent atoms:
Be 0.235 0.750 0.125 [8 per cell]
Al 0.000 0.000 0.500 [4 per cell]
Ga 0.000 0.000 0.000 [4 per cell]

# 10
First-principles (PBE-GGA) data for a relaxed BeAlGa2 crystal, as listed in the Alexandria database.

Output
**Excess energy over the best structure of this formula in the dataset**: 0.45 eV per formula unit
**Calculated formation energy**: 1.28 eV/f.u.

Lattice parameters (Å, degrees): 2.8419 2.8419 28.1953 90.00 90.00 120.00
Space group R-3m (No. 166, hexagonal axes)
One atom of each set of equivalent atoms:
Be 0.0000 0.0000 0.0000 [3 per cell]
Al 0.0000 0.0000 0.5000 [3 per cell]
Ga 0.0000 0.0000 0.0829 [6 per cell]

# 11
First-principles (PBE-GGA) data for a relaxed BeAlGa2 crystal, as listed in the Alexandria database.

Output
**Excess energy over the best structure of this formula in the dataset**: 0.36 eV per formula unit
**Calculated formation energy**: 1.19 eV/f.u.

Lattice parameters (Å, degrees): 6.298 6.298 6.298 90.00 90.00 90.00
Space group Fm-3m (No. 225)
One atom of each set of equivalent atoms:
Be 0.000 0.000 0.000 [4 per cell]
Al 0.000 0.000 0.500 [4 per cell]
Ga 0.250 0.250 0.250 [8 per cell]

# 12
First-principles (PBE-GGA) data for a relaxed Be2Al2Ga crystal, as listed in the Alexandria database.

Output
**Calculated formation energy**: 1.16 eV/f.u.

Lattice parameters (Å, degrees): 6.931 6.931 2.833 90.00 90.00 90.00
Space group P4/mbm (No. 127)
One atom of each set of equivalent atoms:
Be 0.111 0.389 0.000 [4 per cell]
Al 0.182 0.682 0.500 [4 per cell]
Ga 0.000 0.000 0.000 [2 per cell]

# 13
First-principles (PBE-GGA) data for a relaxed BeAlGa crystal, as listed in the Alexandria database.

Output
**Calculated formation energy**: 0.75 eV/f.u.

Lattice parameters (Å, degrees): 4.437 6.655 5.888 90.00 90.00 90.00
Space group Cmcm (No. 63)
One atom of each set of equivalent atoms:
Be 0.000 0.201 0.250 [4 per cell]
Al 0.000 0.500 0.000 [4 per cell]
Ga 0.000 0.147 0.750 [4 per cell]

# 14
First-principles (PBE-GGA) data for a relaxed BeAl3Ga crystal, as listed in the Alexandria database.

Output
**Excess energy over the best structure of this formula in the dataset**: 3.10 eV per formula unit
**Calculated formation energy**: 4.92 eV/f.u.

Lattice parameters (Å, degrees): 4.810 4.810 4.810 90.00 90.00 90.00
Space group Pm-3m (No. 221)
One atom of each set of equivalent atoms:
Be 0.000 0.000 0.000 [1 per cell]
Al 0.000 0.500 0.500 [3 per cell]
Ga 0.500 0.500 0.500 [1 per cell]

# 15
First-principles (PBE-GGA) data for a relaxed Be3Al12Ga5 crystal, as listed in the Alexandria database.

Output
**Calculated formation energy**: 5.91 eV/f.u.

Lattice parameters (Å, degrees): 14.637 14.637 14.637 90.00 90.00 90.00
Space group Ia-3d (No. 230)
One atom of each set of equivalent atoms:
Be 0.000 0.250 0.125 [24 per cell]
Al 0.020 0.091 0.648 [96 per cell]
Ga 0.000 0.000 0.000 [16 per cell]
Ga 0.000 0.250 0.375 [24 per cell]

# 16
First-principles (PBE-GGA) data for a relaxed Be2AlGa crystal, as listed in the Alexandria database.

Output
**Excess energy over the best structure of this formula in the dataset**: 0.00 eV per formula unit
**Calculated formation energy**: 1.53 eV/f.u.

Lattice parameters (Å, degrees): 5.896 5.896 5.896 90.00 90.00 90.00
Space group Fm-3m (No. 225)
One atom of each set of equivalent atoms:
Be 0.250 0.250 0.250 [8 per cell]
Al 0.000 0.000 0.000 [4 per cell]
Ga 0.000 0.000 0.500 [4 per cell]

# 17
First-principles (PBE-GGA) data for a relaxed BeAl3Ga crystal, as listed in the Alexandria database.

Output
**Excess energy over the best structure of this formula in the dataset**: 0.00 eV per formula unit
**Calculated formation energy**: 1.83 eV/f.u.

Lattice parameters (Å, degrees): 4.422 4.422 4.422 90.00 90.00 90.00
Space group Pm-3m (No. 221)
One atom of each set of equivalent atoms:
Be 0.000 0.000 0.000 [1 per cell]
Al 0.000 0.000 0.500 [3 per cell]
Ga 0.500 0.500 0.500 [1 per cell]

# 18
First-principles (PBE-GGA) data for a relaxed BeAlGa2 crystal, as listed in the Alexandria database.

Output
**Excess energy over the best structure of this formula in the dataset**: 0.00 eV per formula unit
**Calculated formation energy**: 0.83 eV/f.u.

Lattice parameters (Å, degrees): 4.138 4.138 15.747 90.00 90.00 90.00
Space group I-42d (No. 122)
One atom of each set of equivalent atoms:
Be 0.000 0.000 0.000 [4 per cell]
Al 0.000 0.000 0.500 [4 per cell]
Ga 0.206 0.250 0.125 [8 per cell]

# 19
First-principles (PBE-GGA) data for a relaxed BeAl2GaHg crystal, as listed in the Alexandria database.

Output
**Excess energy over the best structure of this formula in the dataset**: 3.45 eV per formula unit
**Calculated formation energy**: 5.39 eV/f.u.

Lattice parameters (Å, degrees): 5.033 5.033 5.210 90.00 90.00 90.00
Space group P4/mmm (No. 123)
One atom of each set of equivalent atoms:
Be 0.000 0.000 0.000 [1 per cell]
Al 0.000 0.500 0.500 [2 per cell]
Ga 0.500 0.500 0.000 [1 per cell]
Hg 0.500 0.500 0.500 [1 per cell]

# 20
First-principles (PBE-GGA) data for a relaxed BeAl2GaHg crystal, as listed in the Alexandria database.

Output
**Excess energy over the best structure of this formula in the dataset**: 0.00 eV per formula unit
**Calculated formation energy**: 1.93 eV/f.u.

Lattice parameters (Å, degrees): 4.470 4.470 4.891 90.00 90.00 90.00
Space group P4/mmm (No. 123)
One atom of each set of equivalent atoms:
Be 0.000 0.000 0.000 [1 per cell]
Al 0.000 0.500 0.000 [2 per cell]
Ga 0.500 0.500 0.500 [1 per cell]
Hg 0.000 0.000 0.500 [1 per cell]

# 21
First-principles (PBE-GGA) data for a relaxed Be2AlGa2Ir5 crystal, as listed in the Alexandria database.

Output
**Calculated formation energy**: -4.24 eV/f.u.

Lattice parameters (Å, degrees): 9.435 9.435 3.009 90.00 90.00 90.00
Space group P4/mbm (No. 127)
One atom of each set of equivalent atoms:
Be 0.129 0.371 0.000 [4 per cell]
Al 0.000 0.000 0.000 [2 per cell]
Ga 0.170 0.670 0.000 [4 per cell]
Ir 0.000 0.500 0.500 [2 per cell]
Ir 0.098 0.193 0.500 [8 per cell]

no.,energy (eV/atom)
1,-5.7622
2,-6.4063
3,-5.3016
4,-7.9158
5,-3.6125
6,-3.4834
7,-7.2724
8,-8.0463
9,-2.9536
10,-3.0617
11,-3.0820
12,-3.3612
13,-3.2484
14,-2.6112
15,-3.2657
16,-3.1721
17,-3.2310
18,-3.1730
19,-1.8309
20,-2.5216
21,-6.5795